The following is a PBE calculation of a relaxed Ac4PtAu2 crystal, from the Alexandria database.

Output
- Fermi-level density of states: 0.8224 states/eV/atom
- ΔE to the lowest computed polymorph: 0.00 eV/f.u.
- Symmetry: C2/m, No. 12
- Total magnetization: 0.00 μB/cell

Lattice parameters (Å, degrees): 4.791 6.586 8.190 102.75 107.01 90.00
Element x y z (fractional)
Ac 0.157 0.812 0.315
Pt 0.000 0.000 0.000
Au 0.767 0.665 0.534
Ac 0.843 0.188 0.685
Ac 0.414 0.722 0.828
Ac 0.586 0.278 0.172
Au 0.233 0.335 0.466